VASP calculation (GGA-PBE) on a relaxed Sm4Ga2C crystal.

The calculation puts the total energy at -5.229 eV per atom. As for the crystal system: tetragonal. The calculation puts the formation energy at -0.350 eV per atom. For the offset from the most stable computed form, the calculation gives 43 meV/atom. Its symmetry is I4/mmm. For the density of states at the Fermi level, the calculation gives 0.3 states/eV/cell. For the total moment, the calculation gives 0.00 μB/f.u.

Cell lengths 8.042, 8.042, 8.042 Å; angles 143.41, 143.41, 52.71 degrees
Sites, in units of the cell vectors:
Sm: 0.000 0.500 0.500
Sm: 0.174 0.174 0.000
Sm: 0.500 0.000 0.500
Sm: 0.826 0.826 0.000
Ga: 0.379 0.379 0.000
Ga: 0.621 0.621 0.000
C: 0.000 0.000 0.000